Entry 1:
VASP calculation (PBE) on BaAcTc2O8 after structural relaxation.

a b c (Å): 6.0513 6.0513 7.9756
angles (deg): 90.00 90.00 120.00
Element x y z (fractional)
1 Ba 0.0000 0.0000 0.0000
2 Ac 0.0000 0.0000 0.5000
3 Tc 0.6667 0.3333 0.2060
4 Tc 0.3333 0.6667 0.7940
5 O 0.3333 0.6667 0.0163
6 O 0.3369 0.1684 0.2818
7 O 0.8316 0.1685 0.2818
8 O 0.6667 0.3333 0.9837
9 O 0.1684 0.8315 0.7182
10 O 0.6631 0.8316 0.7182
11 O 0.1685 0.3369 0.7182
12 O 0.8315 0.6631 0.2818

The total energy comes out at -7.590 eV/atom. As for the space-group type: P-3m1, No. 164. Its size of the total moment is 3.00 Bohr magnetons per cell.

Entry 2:
VASP calculation (PBE) on RbCrS2 after structural relaxation.

a b c (Å): 5.9329 5.9329 7.0343
angles (deg): 65.06 65.06 90.00
Element x y z (fractional)
1 Cr 0.5000 0.5000 0.0000
2 Cr 0.2500 0.7500 0.5000
3 S 0.7008 0.7008 0.5984
4 S 0.0492 0.5492 0.9016
5 S 0.2992 0.2992 0.4016
6 S 0.4508 0.9508 0.0984
7 Rb 0.0000 0.0000 0.0000
8 Rb 0.7500 0.2500 0.5000

The total energy comes out at -5.170 eV/atom. As for the space-group type: I4_1/amd, No. 141. Its size of the total moment is 6.00 Bohr magnetons per cell.

Entry 3:
VASP calculation (PBE) on Ti5Ge2P after structural relaxation.

a b c (Å): 3.7433 6.7150 10.2098
angles (deg): 90.00 90.00 90.00
Element x y z (fractional)
1 Ti 0.0000 0.0000 0.5000
2 Ti 0.0000 0.5000 0.0000
3 Ti 0.0000 0.8588 0.2105
4 Ti 0.0000 0.1412 0.7895
5 Ti 0.0000 0.6412 0.7105
6 Ti 0.0000 0.3588 0.2895
7 Ti 0.5000 0.7063 0.4309
8 Ti 0.5000 0.2937 0.5691
9 Ti 0.5000 0.7937 0.9309
10 Ti 0.5000 0.2063 0.0691
11 Ge 0.5000 0.5813 0.1762
12 Ge 0.5000 0.4187 0.8238
13 Ge 0.5000 0.9187 0.6762
14 Ge 0.5000 0.0813 0.3238
15 P 0.0000 0.5000 0.5000
16 P 0.0000 0.0000 0.0000

The total energy comes out at -7.560 eV/atom. As for the space-group type: Pbam, No. 55. Its size of the total moment is 1.08 Bohr magnetons per cell.

Entry 4:
VASP calculation (PBE) on Ho4NiBi2 after structural relaxation.

a b c (Å): 4.9877 4.9877 8.9217
angles (deg): 106.23 106.23 90.00
Element x y z (fractional)
1 Ni 0.0000 0.0000 0.0000
2 Bi 0.6410 0.6410 0.2820
3 Bi 0.3590 0.3590 0.7180
4 Ho 0.8329 0.8329 0.6658
5 Ho 0.1671 0.1671 0.3342
6 Ho 0.0000 0.5000 0.0000
7 Ho 0.5000 0.0000 0.0000

The total energy comes out at -5.066 eV/atom. As for the energy above the most stable polymorph in this dataset: 0.000 eV per atom. As for the space-group type: I4/mmm, No. 139. Its size of the total moment is 0.00 Bohr magnetons per cell.

Entry 5:
VASP calculation (PBE) on SmBiO3 after structural relaxation.

a b c (Å): 6.8167 6.5733 7.5303
angles (deg): 90.00 96.65 90.00
Element x y z (fractional)
1 Sm 0.3594 0.3242 0.8339
2 Sm 0.6406 0.6758 0.1661
3 Sm 0.6406 0.8242 0.6661
4 Sm 0.3594 0.1758 0.3339
5 Bi 0.0994 0.7220 0.4388
6 Bi 0.9006 0.2780 0.5612
7 Bi 0.9006 0.2220 0.0612
8 Bi 0.0994 0.7780 0.9388
9 O 0.9852 0.9245 0.6775
10 O 0.0148 0.0755 0.3225
11 O 0.0148 0.4245 0.8225
12 O 0.9852 0.5755 0.1775
13 O 0.2067 0.3953 0.5265
14 O 0.7933 0.6047 0.4735
15 O 0.7933 0.8953 0.9735
16 O 0.2067 0.1047 0.0265
17 O 0.4595 0.8480 0.3570
18 O 0.5405 0.1520 0.6430
19 O 0.5405 0.3480 0.1430
20 O 0.4595 0.6520 0.8570

The total energy comes out at -6.935 eV/atom. As for the space-group type: P2_1/c, No. 14. Its size of the total moment is 0.00 Bohr magnetons per cell.

Entry 6:
VASP calculation (PBE) on ThPaMn2S8 after structural relaxation.

a b c (Å): 6.3731 6.3731 7.9218
angles (deg): 113.72 113.72 90.00
Element x y z (fractional)
1 Th 0.7500 0.2500 0.5000
2 Pa 0.0000 0.0000 0.0000
3 Mn 0.5000 0.5000 0.0000
4 Mn 0.2500 0.7500 0.5000
5 S 0.7455 0.8494 0.1496
6 S 0.4041 0.3002 0.1496
7 S 0.6035 0.6756 0.6629
8 S 0.0594 0.9874 0.6629
9 S 0.0126 0.3965 0.3371
10 S 0.3244 0.9406 0.3371
11 S 0.1506 0.5959 0.8504
12 S 0.6998 0.2545 0.8504

The total energy comes out at -6.689 eV/atom. As for the space-group type: I-4, No. 82. Its size of the total moment is 6.99 Bohr magnetons per cell.

The highest size of the total moment belongs to which entry?
ThPaMn2S8